The following is a PBE calculation of crystalline YReSe2 at its relaxed geometry, from Alexandria.

As for the energy above the most stable polymorph in this dataset: 911 meV per atom.

The space group is F-43m (No. 216) and the conventional cell measures 6.828, 6.828 and 6.828 Å, with angles of 90.00, 90.00 and 90.00 degrees. The inequivalent atoms are Y at (0.000, 0.000, 0.000), Re at (0.250, 0.250, 0.750), Se at (0.000, 0.000, 0.500) and Se at (0.250, 0.250, 0.250).

The following is a PBE calculation of crystalline YRe2Se at its relaxed geometry, from Alexandria.

The space group is P4mm (No. 99) and the conventional cell measures 3.165, 3.165 and 7.432 Å, with angles of 90.00, 90.00 and 90.00 degrees. The inequivalent atoms are Y at (0.000, 0.000, 0.000), Re at (0.000, 0.000, 0.471), Re at (0.500, 0.500, 0.283) and Se at (0.500, 0.500, 0.718).

The following is a PBE calculation of crystalline YReSe at its relaxed geometry, from Alexandria.

As for the energy above the most stable polymorph in this dataset: 1064 meV per atom.

The space group is F-43m (No. 216) and the conventional cell measures 6.633, 6.633 and 6.633 Å, with angles of 90.00, 90.00 and 90.00 degrees. The inequivalent atoms are Y at (0.000, 0.000, 0.000), Re at (0.250, 0.250, 0.750) and Se at (0.250, 0.250, 0.250).

The following is a PBE calculation of crystalline YReSe2 at its relaxed geometry, from Alexandria.

As for the energy above the most stable polymorph in this dataset: 134 meV per atom.

The space group is Pm (No. 6) and the conventional cell measures 3.550, 4.489 and 5.686 Å, with angles of 90.00, 108.04 and 90.00 degrees. The inequivalent atoms are Y at (0.000, 0.000, 0.000), Re at (0.650, 0.500, 0.304), Se at (0.423, 0.500, 0.844) and Se at (0.722, 0.000, 0.447).

The following is a PBE calculation of crystalline YReSe2 at its relaxed geometry, from Alexandria.

As for the energy above the most stable polymorph in this dataset: 139 meV per atom.

The space group is Imm2 (No. 44) and the conventional cell measures 3.375, 3.973 and 11.860 Å, with angles of 90.00, 90.00 and 90.00 degrees. The inequivalent atoms are Y at (0.000, 0.000, 0.000), Re at (0.000, 0.500, 0.735), Se at (0.000, 0.000, 0.400) and Se at (0.000, 0.500, 0.176).

The following is a PBE calculation of crystalline YReSe3 at its relaxed geometry, from Alexandria.

As for the energy above the most stable polymorph in this dataset: 0 meV per atom.

The space group is Pm-3m (No. 221) and the conventional cell measures 4.939, 4.939 and 4.939 Å, with angles of 90.00, 90.00 and 90.00 degrees. The inequivalent atoms are Y at (0.000, 0.000, 0.000), Re at (0.500, 0.500, 0.500) and Se at (0.000, 0.500, 0.500).

The following is a PBE calculation of crystalline YReSe2 at its relaxed geometry, from Alexandria.

As for the energy above the most stable polymorph in this dataset: 172 meV per atom.

The space group is Cm (No. 8) and the conventional cell measures 9.180, 3.399 and 5.317 Å, with angles of 90.00, 105.13 and 90.00 degrees. The inequivalent atoms are Y at (0.000, 0.000, 0.000), Re at (0.251, 0.000, 0.596), Se at (0.030, 0.500, 0.553) and Se at (0.253, 0.500, 0.225).

The following is a PBE calculation of crystalline YRe2Se at its relaxed geometry, from Alexandria.

The space group is I4/mmm (No. 139) and the conventional cell measures 3.774, 3.774 and 10.459 Å, with angles of 90.00, 90.00 and 90.00 degrees. The inequivalent atoms are Y at (0.000, 0.000, 0.000), Re at (0.000, 0.500, 0.250) and Se at (0.000, 0.000, 0.500).

The following is a PBE calculation of crystalline YReSe3 at its relaxed geometry, from Alexandria.

As for the energy above the most stable polymorph in this dataset: 847 meV per atom.

The space group is Pm-3m (No. 221) and the conventional cell measures 5.420, 5.420 and 5.420 Å, with angles of 90.00, 90.00 and 90.00 degrees. The inequivalent atoms are Y at (0.000, 0.000, 0.000), Re at (0.500, 0.500, 0.500) and Se at (0.000, 0.000, 0.500).

The following is a PBE calculation of crystalline YReSe2 at its relaxed geometry, from Alexandria.

As for the energy above the most stable polymorph in this dataset: 298 meV per atom.

The space group is Fm-3m (No. 225) and the conventional cell measures 6.694, 6.694 and 6.694 Å, with angles of 90.00, 90.00 and 90.00 degrees. The inequivalent atoms are Y at (0.000, 0.000, 0.000), Re at (0.000, 0.000, 0.500) and Se at (0.250, 0.250, 0.250).

The following is a PBE calculation of crystalline YReSe2 at its relaxed geometry, from Alexandria.

As for the energy above the most stable polymorph in this dataset: 230 meV per atom.

The space group is P2/m (No. 10) and the conventional cell measures 3.619, 4.061 and 5.636 Å, with angles of 90.00, 93.99 and 90.00 degrees. The inequivalent atoms are Y at (0.000, 0.000, 0.000), Re at (0.500, 0.000, 0.500) and Se at (0.350, 0.500, 0.732).

The following is a PBE calculation of crystalline YReSe2 at its relaxed geometry, from Alexandria.

As for the energy above the most stable polymorph in this dataset: 126 meV per atom.

The space group is Immm (No. 71) and the conventional cell measures 4.035, 5.399 and 7.351 Å, with angles of 90.00, 90.00 and 90.00 degrees. The inequivalent atoms are Y at (0.000, 0.000, 0.000), Re at (0.000, 0.000, 0.500) and Se at (0.000, 0.500, 0.205).

For each record above, in turn, the calculated formation energy without anion corrections values are 140, -5, 259, -160, -158, -58, -145, 73, 350, -96, -123, -163 kJ/mol of formula units.